VASP calculation (PBE with a Hubbard U) on a relaxed K2RbDyV2O8 crystal.

The structure in CIF format:
```
data_K2RbDyV2O8
_cell_length_a 6.0279
_cell_length_b 6.0279
_cell_length_c 7.7937
_cell_angle_alpha 90.00
_cell_angle_beta 90.00
_cell_angle_gamma 120.00
_space_group_name_H-M_alt 'P -3 m 1'
_space_group_IT_number 164
_space_group_name_Hall '-P 3 2"'
loop_
_atom_site_label
_atom_site_fract_x
_atom_site_fract_y
_atom_site_fract_z
K1 0.3333 0.6667 0.1965
Rb1 0.0000 0.0000 0.5000
Dy1 0.0000 0.0000 0.0000
V1 0.3333 0.6667 0.7493
O1 0.1747 0.3494 0.8280
O2 0.3333 0.6667 0.5332
```

Properties
Electronic total energy = -6.7905 eV/atom
M_tot = 0.00 μB per formula unit